[1]
# LaSnHg4

Crystalline LaSnHg4 at its relaxed geometry (PBE, the Alexandria database).

Cell and atoms, written as POSCAR:
```
LaSnHg4
1.0
0.0000 4.3123 4.3123
4.3123 0.0000 4.3123
4.3123 4.3123 0.0000
La Sn Hg
1 1 4
Direct
0.0000 0.0000 0.0000 La
0.7500 0.7500 0.7500 Sn
0.3753 0.3753 0.3753 Hg
0.3753 0.3753 0.8741 Hg
0.3753 0.8741 0.3753 Hg
0.8741 0.3753 0.3753 Hg
```

- Energy relative to the elements: -0.160 eV per atom
- E above lowest polymorph: 158 meV/atom
- Volume: 160 Å³/f.u.
- E_tot: -11.10 eV per formula unit

[2]
# Si2SbRh

Crystalline Si2SbRh at its relaxed geometry (PBE, the Alexandria database).

Cell and atoms, written as POSCAR:
```
Si2SbRh
1.0
4.3145 0.0000 0.0000
0.0000 4.3145 0.0000
0.0000 0.0000 7.3299
Si Sb Rh
4 2 2
Direct
0.0000 0.0000 0.0000 Si
0.0000 0.5000 0.2500 Si
0.5000 0.0000 0.7500 Si
0.5000 0.5000 0.5000 Si
0.0000 0.0000 0.5000 Sb
0.5000 0.5000 0.0000 Sb
0.0000 0.5000 0.7500 Rh
0.5000 0.0000 0.2500 Rh
```

- Volume: 68 Å³/f.u.
- ΔE_f (raw): 251.1 meV per atom
- E_tot: -21.32 eV per formula unit

[3]
# Ca2TbNdSe4

Crystalline Ca2TbNdSe4 at its relaxed geometry (PBE, the Alexandria database).

Cell and atoms, written as POSCAR:
```
Ca2TbNdSe4
1.0
7.1927 0.0000 0.0000
0.0000 4.1507 0.0000
-2.3951 0.0000 6.9245
Ca Tb Nd Se
2 1 1 4
Direct
0.0000 0.0000 0.0000 Ca
0.5000 0.5000 0.0000 Ca
0.0000 0.5000 0.5000 Tb
0.5000 0.0000 0.5000 Nd
0.2428 0.5000 0.2461 Se
0.2444 0.0000 0.7496 Se
0.7556 0.0000 0.2504 Se
0.7572 0.5000 0.7539 Se
```

- Volume: 207 Å³/f.u.
- ΔE_f (raw): -1891.3 meV per atom
- E_tot: -42.47 eV per formula unit

[4]
# PaCrN

Crystalline PaCrN at its relaxed geometry (PBE, the Alexandria database).

Cell and atoms, written as POSCAR:
```
PaCrN
1.0
3.3341 0.0000 0.0000
0.0000 3.3341 0.0000
0.0000 0.0000 8.1430
Pa Cr N
2 2 2
Direct
0.2500 0.2500 0.1750 Pa
0.7500 0.7500 0.8250 Pa
0.2500 0.2500 0.5264 Cr
0.7500 0.7500 0.4736 Cr
0.2500 0.2500 0.8878 N
0.7500 0.7500 0.1122 N
```

- E above lowest polymorph: 0 meV/atom
- Volume: 45 Å³/f.u.
- ΔE_f (raw): -575.0 meV per atom
- E_tot: -29.17 eV per formula unit

[5]
# Ac5Tl4Cu

Crystalline Ac5Tl4Cu at its relaxed geometry (PBE, the Alexandria database).

Cell and atoms, written as POSCAR:
```
Ac5Tl4Cu
1.0
-5.4090 5.4090 3.1483
5.4090 -5.4090 3.1483
5.4090 5.4090 -3.1483
Ac Tl Cu
5 4 1
Direct
0.0000 0.0000 0.0000 Ac
0.2558 0.6275 0.8833 Ac
0.3725 0.2558 0.6284 Ac
0.6275 0.7442 0.3716 Ac
0.7442 0.3725 0.1167 Ac
0.0568 0.3539 0.4107 Tl
0.3539 0.9432 0.2971 Tl
0.6461 0.0568 0.7029 Tl
0.9432 0.6461 0.5893 Tl
0.5000 0.5000 0.0000 Cu
```

- Energy relative to the elements: -0.118 eV per atom
- E above lowest polymorph: 188 meV/atom
- Volume: 368 Å³/f.u.
- E_tot: -35.28 eV per formula unit

[6]
# Er6P2PdSe3

Crystalline Er6P2PdSe3 at its relaxed geometry (PBE, the Alexandria database).

Cell and atoms, written as POSCAR:
```
Er6P2PdSe3
1.0
8.8137 -1.9896 0.0000
8.8137 1.9896 0.0000
-1.9303 0.0000 7.9018
Er P Pd Se
6 2 1 3
Direct
0.0050 0.0050 0.2442 Er
0.3281 0.3281 0.4280 Er
0.3337 0.3337 0.9017 Er
0.6663 0.6663 0.0983 Er
0.6719 0.6719 0.5720 Er
0.9950 0.9950 0.7558 Er
0.1672 0.1672 0.3353 P
0.8328 0.8328 0.6647 P
0.5000 0.5000 0.0000 Pd
0.1676 0.1676 0.8319 Se
0.5000 0.5000 0.5000 Se
0.8324 0.8324 0.1681 Se
```

- Volume: 277 Å³/f.u.
- ΔE_f (raw): -1568.4 meV per atom
- E_tot: -72.66 eV per formula unit

[7]
# Tb3CdRu

Crystalline Tb3CdRu at its relaxed geometry (PBE, the Alexandria database).

Cell and atoms, written as POSCAR:
```
Tb3CdRu
1.0
0.0000 4.9143 8.0154
3.2675 0.0000 8.0154
3.2675 4.9143 0.0000
Tb Cd Ru
6 2 2
Direct
0.1992 0.1992 0.8008 Tb
0.1995 0.5781 0.4219 Tb
0.4219 0.8005 0.1995 Tb
0.5781 0.1995 0.8005 Tb
0.8005 0.4219 0.5781 Tb
0.8008 0.8008 0.1992 Tb
0.2087 0.7913 0.7913 Cd
0.7913 0.2087 0.2087 Cd
0.2500 0.2500 0.2500 Ru
0.7500 0.7500 0.7500 Ru
```

- Energy relative to the elements: -0.334 eV per atom
- Volume: 129 Å³/f.u.
- E_tot: -25.75 eV per formula unit

[8]
# Pm4NdTm10

Crystalline Pm4NdTm10 at its relaxed geometry (PBE, the Alexandria database).

Cell and atoms, written as POSCAR:
```
Pm4NdTm10
1.0
-6.4427 6.4427 3.2081
6.4427 -6.4427 3.2081
6.4427 6.4427 -3.2081
Pm Nd Tm
4 1 10
Direct
0.0678 0.8277 0.8955 Pm
0.1723 0.0678 0.2402 Pm
0.8277 0.9322 0.7598 Pm
0.9322 0.1723 0.1045 Pm
0.5000 0.5000 0.0000 Nd
0.0427 0.6198 0.1632 Tm
0.1205 0.9573 0.5771 Tm
0.2500 0.7500 0.5000 Tm
0.3802 0.5434 0.4229 Tm
0.4566 0.8795 0.8368 Tm
0.5434 0.1205 0.1632 Tm
0.6198 0.4566 0.5771 Tm
0.7500 0.2500 0.5000 Tm
0.8795 0.0427 0.4229 Tm
0.9573 0.3802 0.8368 Tm
```

- Energy relative to the elements: 0.569 eV per atom
- Volume: 533 Å³/f.u.
- E_tot: -59.95 eV per formula unit

Number 2 is which compound?
Si2SbRh